# HfMnIN2

A geometry-optimized HfMnIN2 structure (PBE, the Alexandria database).

space group: P4/mmm, No. 123
energy above the most stable polymorph in this dataset: 546 meV per atom
E_form (uncorrected): 1005 meV/atom

abc: 3.9353 3.9353 4.9928
angles: 90.00 90.00 90.00
With the nearest neighbours (Å) after each atom.
Sites, in units of the cell vectors:
Hf  0.0000  0.0000  0.0000  4 I 2.78
Mn  0.5000  0.5000  0.5000  4 N 1.97
I  0.5000  0.5000  0.0000  2 Mn 2.50, 4 Hf 2.78
N  0.0000  0.5000  0.5000  2 Mn 1.97
N  0.5000  0.0000  0.5000  2 Mn 1.97

---

# HfMnIN2

A geometry-optimized HfMnIN2 structure (PBE, the Alexandria database).

space group: P4/mmm, No. 123
energy above the most stable polymorph in this dataset: 0 meV per atom
E_form (uncorrected): 458 meV/atom

abc: 4.1521 4.1521 5.9307
angles: 90.00 90.00 90.00
With the nearest neighbours (Å) after each atom.
Sites, in units of the cell vectors:
Hf  0.0000  0.0000  0.0000  4 N 2.08
Mn  0.5000  0.5000  0.5000  4 I 2.94
I  0.0000  0.0000  0.5000  4 Mn 2.94, 2 Hf 2.97
N  0.0000  0.5000  0.0000  2 Hf 2.08
N  0.5000  0.0000  0.0000  2 Hf 2.08

---

# HfMnNbI2

A geometry-optimized HfMnNbI2 structure (PBE, the Alexandria database).

space group: P4/mmm, No. 123
E_form (uncorrected): 1085 meV/atom

abc: 5.5221 5.5221 5.1518
angles: 90.00 90.00 90.00
With the nearest neighbours (Å) after each atom.
Sites, in units of the cell vectors:
Hf  0.0000  0.0000  0.0000  2 Nb 2.58
Mn  0.5000  0.5000  0.0000  8 I 3.78, 4 Hf 3.90
Nb  0.0000  0.0000  0.5000  2 Hf 2.58, 4 I 2.76
I  0.0000  0.5000  0.5000  2 Nb 2.76
I  0.5000  0.0000  0.5000  2 Nb 2.76

---

# Hf2MnPtI

A geometry-optimized Hf2MnPtI structure (PBE, the Alexandria database).

space group: P4/mmm, No. 123
E_form (uncorrected): 852 meV/atom

abc: 5.0574 5.0574 5.6123
angles: 90.00 90.00 90.00
With the nearest neighbours (Å) after each atom.
Sites, in units of the cell vectors:
Hf  0.0000  0.5000  0.0000  2 Pt 2.53
Hf  0.5000  0.0000  0.0000  2 Pt 2.53
Mn  0.0000  0.0000  0.5000  4 I 3.58, 8 Hf 3.78
Pt  0.5000  0.5000  0.0000  4 Hf 2.53, 2 I 2.81
I  0.5000  0.5000  0.5000  2 Pt 2.81